Compound: CaBeBO4
Source: the Alexandria database
Functional: PBE-GGA
Structure: optimized geometry

Output
As for the uncorrected formation energy: -2271 meV/atom.

```
data_CaBeBO4
_cell_length_a 5.883
_cell_length_b 8.484
_cell_length_c 5.639
_cell_angle_alpha 90.00
_cell_angle_beta 90.00
_cell_angle_gamma 90.00
_space_group_name_H-M_alt 'C m c m'
_space_group_IT_number 63
_space_group_name_Hall '-C 2c 2'
loop_
_atom_site_label
_atom_site_type_symbol
_atom_site_fract_x
_atom_site_fract_y
_atom_site_fract_z
Ca1 Ca 0.000 0.000 0.000
Be1 Be 0.000 0.374 0.250
B1 B 0.000 0.373 0.750
O1 O 0.000 0.280 0.522
O2 O 0.195 0.484 0.750
```



Compound: Ca2BeB2O6
Source: the Alexandria database
Functional: PBE-GGA
Structure: optimized geometry

Output
As for the uncorrected formation energy: -2652 meV/atom.

```
data_Ca2BeB2O6
_cell_length_a 9.397
_cell_length_b 4.807
_cell_length_c 5.575
_cell_angle_alpha 90.00
_cell_angle_beta 117.62
_cell_angle_gamma 90.00
_space_group_name_H-M_alt 'C 1 2/m 1'
_space_group_IT_number 12
loop_
_space_group_symop_operation_xyz
'x,y,z'
'-x,-y,-z'
'-x,y,-z'
'x,-y,z'
'x+1/2,y+1/2,z'
'-x+1/2,-y+1/2,-z'
'-x+1/2,y+1/2,-z'
'x+1/2,-y+1/2,z'
loop_
_atom_site_label
_atom_site_type_symbol
_atom_site_fract_x
_atom_site_fract_y
_atom_site_fract_z
Ca1 Ca 0.201 0.000 0.188
Be1 Be 0.000 0.000 0.500
B1 B 0.033 0.500 0.272
O1 O 0.049 0.251 0.757
O2 O 0.191 0.500 0.330
```



Compound: CaBe2BO4
Source: the Alexandria database
Functional: PBE-GGA
Structure: optimized geometry

Output
As for the uncorrected formation energy: -2047 meV/atom.

```
data_CaBe2BO4
_cell_length_a 4.724
_cell_length_b 4.724
_cell_length_c 6.090
_cell_angle_alpha 90.00
_cell_angle_beta 90.00
_cell_angle_gamma 90.00
_space_group_name_H-M_alt 'I -4 2 m'
_space_group_IT_number 121
_space_group_name_Hall 'I -4 2'
loop_
_atom_site_label
_atom_site_type_symbol
_atom_site_fract_x
_atom_site_fract_y
_atom_site_fract_z
Ca1 Ca 0.000 0.000 0.000
Be1 Be 0.000 0.500 0.250
B1 B 0.000 0.000 0.500
O1 O 0.178 0.178 0.348
```



Compound: CaBeB2O5
Source: the Alexandria database
Functional: PBE-GGA
Structure: optimized geometry

Output
As for the uncorrected formation energy: -2736 meV/atom.

```
data_CaBeB2O5
_cell_length_a 5.186
_cell_length_b 3.904
_cell_length_c 17.739
_cell_angle_alpha 90.00
_cell_angle_beta 100.02
_cell_angle_gamma 90.00
_space_group_name_H-M_alt 'P 1 21/c 1'
_space_group_IT_number 14
loop_
_space_group_symop_operation_xyz
'x,y,z'
'-x,-y,-z'
'-x,y+1/2,-z+1/2'
'x,-y+1/2,z+1/2'
loop_
_atom_site_label
_atom_site_type_symbol
_atom_site_fract_x
_atom_site_fract_y
_atom_site_fract_z
Ca1 Ca 0.229 0.023 0.418
Be1 Be 0.105 0.139 0.212
B1 B 0.293 0.604 0.598
B2 B 0.404 0.657 0.285
O1 O 0.069 0.508 0.625
O2 O 0.158 0.652 0.779
O3 O 0.295 0.681 0.038
O4 O 0.372 0.121 0.726
O5 O 0.460 0.515 0.365
```



Compound: Ca2BeBPd6
Source: the Alexandria database
Functional: PBE-GGA
Structure: optimized geometry

Output
The calculation puts the formation energy at -0.580 eV/atom.

```
data_Ca2BeBPd6
_cell_length_a 5.932
_cell_length_b 5.967
_cell_length_c 6.342
_cell_angle_alpha 62.63
_cell_angle_beta 62.13
_cell_angle_gamma 60.31
_space_group_name_H-M_alt 'P -1'
_space_group_IT_number 2
loop_
_space_group_symop_operation_xyz
'x,y,z'
'-x,-y,-z'
loop_
_atom_site_label
_atom_site_type_symbol
_atom_site_fract_x
_atom_site_fract_y
_atom_site_fract_z
Ca1 Ca 0.239 0.243 0.278
Be1 Be 0.500 0.500 0.500
B1 B 0.000 0.000 0.000
Pd1 Pd 0.245 0.242 0.772
Pd2 Pd 0.245 0.741 0.771
Pd3 Pd 0.260 0.757 0.227
```



Compound: BeCdB2
Source: the Alexandria database
Functional: PBE-GGA
Structure: optimized geometry

Output
Its offset from the most stable computed form is 0.901 eV per atom. The calculation puts the formation energy at 1.512 eV/atom.

```
data_BeCdB2
_cell_length_a 5.694
_cell_length_b 5.694
_cell_length_c 5.694
_cell_angle_alpha 90.00
_cell_angle_beta 90.00
_cell_angle_gamma 90.00
_space_group_name_H-M_alt 'F m -3 m'
_space_group_IT_number 225
_space_group_name_Hall '-F 4 2 3'
loop_
_atom_site_label
_atom_site_type_symbol
_atom_site_fract_x
_atom_site_fract_y
_atom_site_fract_z
Be1 Be 0.000 0.000 0.000
Cd1 Cd 0.000 0.000 0.500
B1 B 0.250 0.250 0.250
```



Compound: Be2CdB2
Source: the Alexandria database
Functional: PBE-GGA
Structure: optimized geometry

Output
Its offset from the most stable computed form is 0.546 eV per atom. The calculation puts the formation energy at 1.018 eV/atom.

```
data_Be2CdB2
_cell_length_a 6.510
_cell_length_b 6.510
_cell_length_c 2.435
_cell_angle_alpha 90.00
_cell_angle_beta 90.00
_cell_angle_gamma 90.00
_space_group_name_H-M_alt 'P 4/m b m'
_space_group_IT_number 127
_space_group_name_Hall '-P 4 2ab'
loop_
_atom_site_label
_atom_site_type_symbol
_atom_site_fract_x
_atom_site_fract_y
_atom_site_fract_z
Be1 Be 0.120 0.380 0.000
Cd1 Cd 0.000 0.000 0.000
B1 B 0.165 0.665 0.500
```



Compound: Be2CdB2
Source: the Alexandria database
Functional: PBE-GGA
Structure: optimized geometry

Output
Its offset from the most stable computed form is 0.000 eV per atom. The calculation puts the formation energy at 0.471 eV/atom.

```
data_Be2CdB2
_cell_length_a 2.769
_cell_length_b 2.769
_cell_length_c 13.909
_cell_angle_alpha 90.00
_cell_angle_beta 90.00
_cell_angle_gamma 90.00
_space_group_name_H-M_alt 'I 4/m m m'
_space_group_IT_number 139
_space_group_name_Hall '-I 4 2'
loop_
_atom_site_label
_atom_site_type_symbol
_atom_site_fract_x
_atom_site_fract_y
_atom_site_fract_z
Be1 Be 0.000 0.000 0.151
Cd1 Cd 0.000 0.000 0.500
B1 B 0.000 0.500 0.250
```



Compound: Be2CdB2
Source: the Alexandria database
Functional: PBE-GGA
Structure: optimized geometry

Output
Its offset from the most stable computed form is 0.158 eV per atom. The calculation puts the formation energy at 0.630 eV/atom.

```
data_Be2CdB2
_cell_length_a 5.878
_cell_length_b 5.878
_cell_length_c 3.084
_cell_angle_alpha 90.00
_cell_angle_beta 90.00
_cell_angle_gamma 90.00
_space_group_name_H-M_alt 'P 4/m b m'
_space_group_IT_number 127
_space_group_name_Hall '-P 4 2ab'
loop_
_atom_site_label
_atom_site_type_symbol
_atom_site_fract_x
_atom_site_fract_y
_atom_site_fract_z
Be1 Be 0.129 0.371 0.000
Cd1 Cd 0.000 0.000 0.500
B1 B 0.096 0.596 0.500
```



Compound: BeCdB2
Source: the Alexandria database
Functional: PBE-GGA
Structure: optimized geometry

Output
Its offset from the most stable computed form is 0.000 eV per atom. The calculation puts the formation energy at 0.611 eV/atom.

```
data_BeCdB2
_cell_length_a 3.645
_cell_length_b 3.645
_cell_length_c 13.302
_cell_angle_alpha 90.00
_cell_angle_beta 90.00
_cell_angle_gamma 90.00
_space_group_name_H-M_alt 'I 41/a m d'
_space_group_IT_number 141
loop_
_space_group_symop_operation_xyz
'x,y,z'
'-x,-y,-z'
'-y+1/4,x+3/4,z+1/4'
'y+1/4,-x+3/4,-z+1/4'
'-x+1/2,-y,z+1/2'
'x+1/2,y,-z+1/2'
'y+1/4,-x+1/4,z+3/4'
'-y+1/4,x+1/4,-z+3/4'
'x,-y,-z'
'-x,y,z'
'-y+1/4,-x+1/4,-z+3/4'
'y+1/4,x+1/4,z+3/4'
'-x+1/2,y,-z+1/2'
'x+1/2,-y,z+1/2'
'y+1/4,x+3/4,-z+1/4'
'-y+1/4,-x+3/4,z+1/4'
'x+1/2,y+1/2,z+1/2'
'-x+1/2,-y+1/2,-z+1/2'
'-y+3/4,x+1/4,z+3/4'
'y+3/4,-x+1/4,-z+3/4'
'-x,-y+1/2,z'
'x,y+1/2,-z'
'y+3/4,-x+3/4,z+1/4'
'-y+3/4,x+3/4,-z+1/4'
'x+1/2,-y+1/2,-z+1/2'
'-x+1/2,y+1/2,z+1/2'
'-y+3/4,-x+3/4,-z+1/4'
'y+3/4,x+3/4,z+1/4'
'-x,y+1/2,-z'
'x,-y+1/2,z'
'y+3/4,x+1/4,-z+3/4'
'-y+3/4,-x+1/4,z+3/4'
loop_
_atom_site_label
_atom_site_type_symbol
_atom_site_fract_x
_atom_site_fract_y
_atom_site_fract_z
Be1 Be 0.000 0.250 0.375
Cd1 Cd 0.000 0.250 0.875
B1 B 0.000 0.000 0.500
```



Compound: BeCd2BF
Source: the Alexandria database
Functional: PBE-GGA
Structure: optimized geometry

Output
As for the uncorrected formation energy: 439 meV/atom.

```
data_BeCd2BF
_cell_length_a 4.714
_cell_length_b 4.714
_cell_length_c 3.654
_cell_angle_alpha 90.00
_cell_angle_beta 90.00
_cell_angle_gamma 90.00
_space_group_name_H-M_alt 'P 4/m m m'
_space_group_IT_number 123
_space_group_name_Hall '-P 4 2'
loop_
_atom_site_label
_atom_site_type_symbol
_atom_site_fract_x
_atom_site_fract_y
_atom_site_fract_z
Be1 Be 0.000 0.000 0.000
Cd1 Cd 0.000 0.500 0.500
B1 B 0.500 0.500 0.500
F1 F 0.500 0.500 0.000
```



Compound: Be2CdGeB
Source: the Alexandria database
Functional: PBE-GGA
Structure: optimized geometry

Output
The calculation puts the formation energy at 1.537 eV/atom.

```
data_Be2CdGeB
_cell_length_a 4.554
_cell_length_b 4.554
_cell_length_c 4.138
_cell_angle_alpha 90.00
_cell_angle_beta 90.00
_cell_angle_gamma 90.00
_space_group_name_H-M_alt 'P 4/m m m'
_space_group_IT_number 123
_space_group_name_Hall '-P 4 2'
loop_
_atom_site_label
_atom_site_type_symbol
_atom_site_fract_x
_atom_site_fract_y
_atom_site_fract_z
Be1 Be 0.000 0.500 0.000
Cd1 Cd 0.000 0.000 0.000
Ge1 Ge 0.500 0.500 0.500
B1 B 0.000 0.000 0.500
```



Computed values of magnetization (unit: μB/atom) for the preceding records, in sequence: 0.14; 0.00; 0.12; 0.00; 0.00; 0.00; 0.00; 0.00; 0.00; 0.00; 0.00; 0.00.